VASP calculation (PBE) on a relaxed PrCoRu crystal.

Cell lengths 4.2753, 4.0755, 4.0755 Å; angles 120.00, 90.00, 90.00 degrees
Last column: magnetic moment on the atom in μB.
Element x y z (fractional)
Ru1 0.1665 0.3333 0.6667  0.65
Pr1 0.6667 0.6667 0.3333  -0.08
Co1 0.1668 0.0000 0.0000  1.17

Calculated values
Its crystal system is hexagonal. The energy above the most stable polymorph in this dataset comes out at 40 meV/atom. The volume is 61.5 Å³ per cell. The calculation puts the formation energy at -0.021 eV/atom. Its space group is P-6m2 (187).

---

VASP calculation (PBE) on a relaxed PrCoRu crystal.

Cell lengths 4.2076, 5.6063, 5.6623 Å; angles 80.19, 68.19, 67.96 degrees
Last column: magnetic moment on the atom in μB.
Element x y z (fractional)
Ru1 0.6682 0.7540 0.9096  0.61
Ru2 0.3318 0.2460 0.0904  0.61
Co1 0.3291 0.6057 0.7361  1.24
Co2 0.6709 0.3943 0.2639  1.24
Pr1 0.9424 0.8035 0.3117  -0.06
Pr2 0.0576 0.1965 0.6883  -0.06

Calculated values
Its crystal system is monoclinic. The energy above the most stable polymorph in this dataset comes out at 108 meV/atom. The volume is 114.9 Å³ per cell. The calculation puts the formation energy at 0.046 eV/atom. Its space group is C2/m (12).

---

VASP calculation (PBE) on a relaxed PrCoSi2Ru crystal.

Cell lengths 4.0831, 4.0831, 5.7842 Å; angles 110.67, 110.67, 90.00 degrees
Element x y z (fractional)
Co1 0.7500 0.2500 0.5000
Si1 0.3666 0.3666 0.7331
Si2 0.6334 0.6334 0.2669
Ru1 0.2500 0.7500 0.5000
Pr1 0.0000 0.0000 0.0000

Calculated values
Its crystal system is tetragonal. Its energy relative to the elements, uncorrected is -802 meV per atom. The volume is 83.6 Å³ per cell. Its space group is I-4m2 (119).

---

VASP calculation (PBE) on a relaxed PrTmCoRu crystal.

Cell lengths 4.8391, 4.8391, 4.8391 Å; angles 60.00, 60.00, 60.00 degrees
Element x y z (fractional)
Tm1 0.0000 0.0000 0.0000
Pr1 0.5000 0.5000 0.5000
Ru1 0.7500 0.7500 0.7500
Co1 0.2500 0.2500 0.2500

Calculated values
Its crystal system is cubic. The volume is 80.1 Å³ per cell. The calculation puts the formation energy at -0.110 eV/atom. Its space group is F-43m (216).